1.
Entry from Alexandria via LeMat-Bulk: an optimized crystal structure of MgAsPt2 (PBE).

Lattice parameters (Å, degrees): 4.5552 4.5552 4.5552 60.00 60.00 60.00
Closest atoms and distances in Å follow each position.
Element x y z (fractional)
As1 0.5000 0.5000 0.5000  4 Pt 2.79, 4 Mg 2.79
Mg1 0.7500 0.7500 0.7500  4 As 2.79, 4 Pt 2.79
Pt1 0.0000 0.0000 0.0000  4 Mg 2.79, 4 Pt 2.79
Pt2 0.2500 0.2500 0.2500  4 As 2.79, 4 Pt 2.79

E_tot: -19.36 eV for the cell shown
ΔE_f: -258 meV/atom

---

2.
Entry from Alexandria via LeMat-Bulk: an optimized crystal structure of ScAl2Ru2 (PBE).

Lattice parameters (Å, degrees): 3.1142 3.1921 8.2669 78.87 90.00 90.00
Closest atoms and distances in Å follow each position.
Element x y z (fractional)
Sc1 0.0000 0.0000 0.0000  8 Ru 2.83, 2 Al 2.92, 2 Sc 3.11
Al1 0.0000 0.1801 0.6398  4 Ru 2.52, 2 Al 2.77
Al2 0.0000 0.8199 0.3602  4 Ru 2.52, 2 Al 2.77
Ru1 0.5000 0.3929 0.2143  4 Al 2.52, 4 Sc 2.83
Ru2 0.5000 0.6071 0.7857  4 Al 2.52, 4 Sc 2.83

energy above the lowest structure with this stoichiometry: 0.139 eV/atom
E_tot: -34.79 eV for the cell shown
ΔE_f: -485 meV/atom

---

3.
Entry from Alexandria via LeMat-Bulk: an optimized crystal structure of SnHgCl2 (PBE).

Lattice parameters (Å, degrees): 4.5764 4.5764 10.0415 90.00 90.00 133.01
Closest atoms and distances in Å follow each position.
Element x y z (fractional)
Sn1 0.1142 0.8858 0.5000  4 Cl 2.73
Hg1 0.7968 0.2032 0.0000  2 Hg 3.65
Cl1 0.4775 0.5225 0.3324  2 Sn 2.73
Cl2 0.4775 0.5225 0.6676  2 Sn 2.73

raw formation energy: -0.637 eV/atom
energy above the lowest structure with this stoichiometry: 0.061 eV/atom
E_tot: -10.55 eV for the cell shown

---

4.
Entry from Alexandria via LeMat-Bulk: an optimized crystal structure of LaCd3S (PBE).

Lattice parameters (Å, degrees): 5.2357 5.2357 5.2357 90.00 90.00 90.00
Closest atoms and distances in Å follow each position.
Element x y z (fractional)
S1 0.0000 0.0000 0.0000  6 Cd 2.62
Cd1 0.0000 0.5000 0.0000  2 S 2.62
Cd2 0.0000 0.0000 0.5000  2 S 2.62
Cd3 0.5000 0.0000 0.0000  2 S 2.62
La1 0.5000 0.5000 0.5000  12 Cd 3.70

raw formation energy: 0.152 eV/atom
E_tot: -11.04 eV for the cell shown